Entry i
DFT (GGA+U) results for crystalline Fe10O9F11 at its relaxed geometry.

For the total magnetic moment, the calculation gives 15.00 μB per formula unit.

Lattice parameters (Å, degrees): 15.203 7.101 6.310 90.00 90.00 90.00
Space group Amm2 (No. 38)
One atom of each set of equivalent atoms:
Fe (0.000, 0.000, 0.000) (multiplicity 2)
Fe (0.102, 0.000, 0.500) (multiplicity 4)
Fe (0.198, 0.000, 0.000) (multiplicity 4)
Fe (0.299, 0.000, 0.498) (multiplicity 4)
Fe (0.392, 0.000, 0.993) (multiplicity 4)
Fe (0.500, 0.000, 0.528) (multiplicity 2)
O (0.101, 0.000, 0.197) (multiplicity 4)
O (0.101, 0.000, 0.803) (multiplicity 4)
O (0.294, 0.000, 0.798) (multiplicity 4)
O (0.296, 0.000, 0.199) (multiplicity 4)
O (0.500, 0.000, 0.833) (multiplicity 2)
F (0.000, 0.192, 0.500) (multiplicity 4)
F (0.200, 0.190, 0.498) (multiplicity 8)
F (0.393, 0.200, 0.503) (multiplicity 8)
F (0.500, 0.000, 0.215) (multiplicity 2)

Entry ii
DFT (GGA+U) results for crystalline Fe10O9F11 at its relaxed geometry.

The density of states at the Fermi level is 1.3 states/eV/cell. For the total magnetic moment, the calculation gives 15.00 μB per formula unit.

Lattice parameters (Å, degrees): 4.675 15.058 4.700 90.00 94.04 90.00
Space group Pm (No. 6)
One atom of each set of equivalent atoms:
Fe (0.000, 0.000, 0.000) (multiplicity 1)
Fe (0.004, 0.192, 0.998) (multiplicity 2)
Fe (0.060, 0.397, 0.958) (multiplicity 2)
Fe (0.473, 0.304, 0.469) (multiplicity 2)
Fe (0.475, 0.500, 0.466) (multiplicity 1)
Fe (0.501, 0.098, 0.501) (multiplicity 2)
O (0.192, 0.296, 0.173) (multiplicity 2)
O (0.193, 0.099, 0.191) (multiplicity 2)
O (0.198, 0.500, 0.166) (multiplicity 1)
O (0.313, 0.400, 0.650) (multiplicity 2)
O (0.806, 0.100, 0.811) (multiplicity 2)
F (0.287, 0.000, 0.702) (multiplicity 1)
F (0.298, 0.207, 0.681) (multiplicity 2)
F (0.681, 0.401, 0.276) (multiplicity 2)
F (0.686, 0.207, 0.301) (multiplicity 2)
F (0.712, 0.000, 0.297) (multiplicity 1)
F (0.794, 0.299, 0.778) (multiplicity 2)
F (0.801, 0.500, 0.764) (multiplicity 1)

Entry iii
DFT (GGA+U) results for crystalline Fe10O9F11 at its relaxed geometry.

The density of states at the Fermi level is 3.9 states/eV/cell. For the total magnetic moment, the calculation gives 29.00 μB per formula unit.

Lattice parameters (Å, degrees): 4.725 15.290 4.728 90.00 94.17 90.00
Space group Pm (No. 6)
One atom of each set of equivalent atoms:
Fe (0.000, 0.000, 0.000) (multiplicity 1)
Fe (0.011, 0.398, 0.016) (multiplicity 2)
Fe (0.047, 0.192, 0.049) (multiplicity 2)
Fe (0.480, 0.100, 0.576) (multiplicity 2)
Fe (0.505, 0.306, 0.508) (multiplicity 2)
Fe (0.515, 0.500, 0.520) (multiplicity 1)
O (0.198, 0.096, 0.847) (multiplicity 2)
O (0.314, 0.404, 0.319) (multiplicity 2)
O (0.334, 0.200, 0.351) (multiplicity 2)
O (0.701, 0.000, 0.719) (multiplicity 1)
O (0.712, 0.401, 0.717) (multiplicity 2)
F (0.201, 0.500, 0.829) (multiplicity 1)
F (0.218, 0.299, 0.837) (multiplicity 2)
F (0.295, 0.000, 0.331) (multiplicity 1)
F (0.719, 0.203, 0.746) (multiplicity 2)
F (0.818, 0.095, 0.219) (multiplicity 2)
F (0.823, 0.500, 0.206) (multiplicity 1)
F (0.830, 0.298, 0.222) (multiplicity 2)

Which structure loses on stability? entry ii does.

Entry i
DFT (GGA+U) results for crystalline Fe2OF3 at its relaxed geometry.

The density of states at the Fermi level is 3.8 states/eV/cell. For the total magnetic moment, the calculation gives 8.00 μB per formula unit.

Lattice parameters (Å, degrees): 6.278 13.299 6.902 90.00 90.00 90.00
Space group Cmmm (No. 65)
One atom of each set of equivalent atoms:
Fe (0.000, 0.000, 0.000) (multiplicity 2)
Fe (0.000, 0.247, 0.500) (multiplicity 4)
Fe (0.000, 0.500, 0.000) (multiplicity 2)
Fe (0.227, 0.000, 0.500) (multiplicity 4)
Fe (0.250, 0.250, 0.000) (multiplicity 4)
O (0.000, 0.097, 0.500) (multiplicity 4)
O (0.000, 0.340, 0.000) (multiplicity 4)
F (0.000, 0.148, 0.000) (multiplicity 4)
F (0.000, 0.405, 0.500) (multiplicity 4)
F (0.247, 0.500, 0.208) (multiplicity 8)
F (0.250, 0.250, 0.291) (multiplicity 8)

Entry ii
DFT (GGA+U) results for crystalline Fe2OF3 at its relaxed geometry.

The density of states at the Fermi level is 0.8 states/eV/cell. For the total magnetic moment, the calculation gives 6.50 μB per formula unit.

Lattice parameters (Å, degrees): 12.557 6.962 6.684 90.00 90.00 90.00
Space group Amm2 (No. 38)
One atom of each set of equivalent atoms:
Fe (0.000, 0.000, 0.000) (multiplicity 2)
Fe (0.124, 0.000, 0.471) (multiplicity 4)
Fe (0.248, 0.000, 0.943) (multiplicity 4)
Fe (0.374, 0.000, 0.486) (multiplicity 4)
Fe (0.500, 0.000, 0.940) (multiplicity 2)
O (0.000, 0.000, 0.302) (multiplicity 2)
O (0.246, 0.000, 0.646) (multiplicity 4)
O (0.500, 0.000, 0.659) (multiplicity 2)
F (0.000, 0.000, 0.680) (multiplicity 2)
F (0.124, 0.204, 0.974) (multiplicity 8)
F (0.250, 0.000, 0.258) (multiplicity 4)
F (0.384, 0.194, 0.961) (multiplicity 8)
F (0.500, 0.000, 0.259) (multiplicity 2)

Entry iii
DFT (GGA+U) results for crystalline Fe2OF3 at its relaxed geometry.

The density of states at the Fermi level is 1.7 states/eV/cell. For the total magnetic moment, the calculation gives 0.20 μB per formula unit.

Lattice parameters (Å, degrees): 4.758 2.993 23.661 90.00 91.19 90.00
Space group Pm (No. 6)
One atom of each set of equivalent atoms:
Fe (0.000, 0.000, 0.000) (multiplicity 1)
Fe (0.003, 0.000, 0.801) (multiplicity 1)
Fe (0.018, 0.000, 0.601) (multiplicity 1)
Fe (0.032, 0.000, 0.402) (multiplicity 1)
Fe (0.462, 0.500, 0.095) (multiplicity 1)
Fe (0.473, 0.500, 0.894) (multiplicity 1)
Fe (0.484, 0.500, 0.695) (multiplicity 1)
Fe (0.500, 0.500, 0.495) (multiplicity 1)
Fe (0.517, 0.500, 0.296) (multiplicity 1)
Fe (0.970, 0.000, 0.202) (multiplicity 1)
O (0.278, 0.000, 0.062) (multiplicity 1)
O (0.291, 0.000, 0.861) (multiplicity 1)
O (0.329, 0.000, 0.658) (multiplicity 1)
O (0.339, 0.000, 0.458) (multiplicity 1)
O (0.796, 0.500, 0.234) (multiplicity 1)
F (0.171, 0.500, 0.159) (multiplicity 1)
F (0.194, 0.500, 0.757) (multiplicity 1)
F (0.199, 0.500, 0.958) (multiplicity 1)
F (0.202, 0.500, 0.556) (multiplicity 1)
F (0.218, 0.500, 0.356) (multiplicity 1)
F (0.294, 0.000, 0.254) (multiplicity 1)
F (0.670, 0.000, 0.135) (multiplicity 1)
F (0.681, 0.000, 0.936) (multiplicity 1)
F (0.683, 0.000, 0.738) (multiplicity 1)
F (0.693, 0.000, 0.539) (multiplicity 1)
F (0.719, 0.000, 0.338) (multiplicity 1)
F (0.771, 0.500, 0.038) (multiplicity 1)
F (0.778, 0.500, 0.839) (multiplicity 1)
F (0.812, 0.500, 0.642) (multiplicity 1)
F (0.823, 0.500, 0.442) (multiplicity 1)

Entry iv
DFT (GGA+U) results for crystalline Fe2OF3 at its relaxed geometry.

For the total magnetic moment, the calculation gives 8.20 μB per formula unit.

Lattice parameters (Å, degrees): 15.506 6.940 6.714 90.00 90.00 90.00
Space group Amm2 (No. 38)
One atom of each set of equivalent atoms:
Fe (0.000, 0.000, 0.000) (multiplicity 2)
Fe (0.097, 0.000, 0.469) (multiplicity 4)
Fe (0.197, 0.000, 0.004) (multiplicity 4)
Fe (0.298, 0.000, 0.529) (multiplicity 4)
Fe (0.399, 0.000, 0.983) (multiplicity 4)
Fe (0.500, 0.000, 0.520) (multiplicity 2)
O (0.096, 0.000, 0.172) (multiplicity 4)
O (0.296, 0.000, 0.827) (multiplicity 4)
O (0.500, 0.000, 0.820) (multiplicity 2)
F (0.000, 0.212, 0.491) (multiplicity 4)
F (0.096, 0.000, 0.794) (multiplicity 4)
F (0.197, 0.207, 0.501) (multiplicity 8)
F (0.298, 0.000, 0.212) (multiplicity 4)
F (0.399, 0.211, 0.515) (multiplicity 8)
F (0.500, 0.000, 0.207) (multiplicity 2)

Which structure loses on stability? entry iii does.

Entry i
DFT (GGA+U) results for crystalline Fe2OF3 at its relaxed geometry.

The density of states at the Fermi level is 6.6 states/eV/cell. For the total magnetic moment, the calculation gives 7.99 μB per formula unit.

Lattice parameters (Å, degrees): 6.901 6.661 12.488 90.00 90.00 90.00
Space group Cmcm (No. 63)
One atom of each set of equivalent atoms:
Fe (0.000, 0.000, 0.000) (multiplicity 4)
Fe (0.000, 0.007, 0.250) (multiplicity 4)
Fe (0.000, 0.470, 0.124) (multiplicity 8)
O (0.000, 0.170, 0.123) (multiplicity 8)
F (0.000, 0.217, 0.629) (multiplicity 8)
F (0.208, 0.477, 0.250) (multiplicity 8)
F (0.212, 0.500, 0.000) (multiplicity 8)

Entry ii
DFT (GGA+U) results for crystalline Fe2OF3 at its relaxed geometry.

For the total magnetic moment, the calculation gives 4.33 μB per formula unit.

Lattice parameters (Å, degrees): 9.287 6.819 6.605 90.00 90.00 90.00
Space group Amm2 (No. 38)
One atom of each set of equivalent atoms:
Fe (0.000, 0.000, 0.000) (multiplicity 2)
Fe (0.163, 0.000, 0.531) (multiplicity 4)
Fe (0.329, 0.000, 0.057) (multiplicity 4)
Fe (0.500, 0.000, 0.505) (multiplicity 2)
O (0.000, 0.000, 0.699) (multiplicity 2)
O (0.326, 0.000, 0.360) (multiplicity 4)
F (0.000, 0.000, 0.319) (multiplicity 2)
F (0.164, 0.213, 0.031) (multiplicity 8)
F (0.325, 0.000, 0.745) (multiplicity 4)
F (0.500, 0.213, 0.045) (multiplicity 4)

Which structure loses on stability? entry ii does.

Entry i
DFT (GGA+U) results for crystalline Fe2OF3 at its relaxed geometry.

The density of states at the Fermi level is 5.2 states/eV/cell. For the total magnetic moment, the calculation gives 6.99 μB per formula unit.

Lattice parameters (Å, degrees): 19.108 6.230 4.766 90.00 92.48 90.00
Space group C2/m (No. 12)
One atom of each set of equivalent atoms:
Fe (0.000, 0.000, 0.000) (multiplicity 2)
Fe (0.000, 0.500, 0.000) (multiplicity 2)
Fe (0.125, 0.246, 0.499) (multiplicity 8)
Fe (0.242, 0.500, 0.968) (multiplicity 4)
O (0.081, 0.000, 0.321) (multiplicity 4)
O (0.168, 0.500, 0.673) (multiplicity 4)
F (0.052, 0.250, 0.792) (multiplicity 8)
F (0.074, 0.500, 0.299) (multiplicity 4)
F (0.179, 0.000, 0.713) (multiplicity 4)
F (0.198, 0.249, 0.207) (multiplicity 8)

Entry ii
DFT (GGA+U) results for crystalline Fe2OF3 at its relaxed geometry.

The density of states at the Fermi level is 0.0 states/eV/cell. For the total magnetic moment, the calculation gives 1.00 μB per formula unit.

Lattice parameters (Å, degrees): 5.738 4.725 10.773 90.00 96.39 90.00
Space group P2_1/c (No. 14)
One atom of each set of equivalent atoms:
Fe (0.000, 0.000, 0.000) (multiplicity 2)
Fe (0.244, 0.031, 0.732) (multiplicity 4)
Fe (0.500, 0.000, 0.500) (multiplicity 2)
O (0.229, 0.195, 0.576) (multiplicity 4)
F (0.006, 0.723, 0.681) (multiplicity 4)
F (0.272, 0.684, 0.399) (multiplicity 4)
F (0.493, 0.221, 0.321) (multiplicity 4)

Entry iii
DFT (GGA+U) results for crystalline Fe2OF3 at its relaxed geometry.

For the total magnetic moment, the calculation gives 9.00 μB per formula unit.

Lattice parameters (Å, degrees): 3.135 6.928 6.724 90.00 90.00 90.00
Space group Amm2 (No. 38)
One atom of each set of equivalent atoms:
Fe (0.000, 0.000, 0.000) (multiplicity 2)
Fe (0.500, 0.000, 0.463) (multiplicity 2)
O (0.500, 0.000, 0.164) (multiplicity 2)
F (0.000, 0.210, 0.472) (multiplicity 4)
F (0.500, 0.000, 0.777) (multiplicity 2)

Which structure loses on stability? entry i does.